! TlCdBr2 (PBE, optimized geometry); values from VASP
&SYSTEM
  ibrav = 0, nat = 4, ntyp = 3
/
ATOMIC_SPECIES
Tl 204.38 Tl.upf
Cd 112.41 Cd.upf
Br 79.90 Br.upf
CELL_PARAMETERS angstrom
1.983 1.145 10.098
-1.983 1.145 10.098
0.000 -2.290 10.098
ATOMIC_POSITIONS crystal
Tl 0.000 0.000 0.000
Cd 0.500 0.500 0.500
Br 0.111 0.111 0.111
Br 0.889 0.889 0.889
! Formation energy without anion corrections (eV per atom): -0.523
! Raw total energy (eV/atom): -2.18